#i
Computed, not measured: a relaxed structure of MoWIO2 at the PBE+U level of DFT.

```
MoWIO2
1.0
-2.6196 -1.6108 -2.6114
-2.6071 -0.6417 3.0112
-2.9093 6.5514 -1.1227
I Mo O W
1 1 2 1
direct
0.0000 0.0000 0.5000
0.0000 0.0000 0.0000
0.0000 0.5000 0.0000
0.5000 0.0000 0.0000
0.5000 0.5000 0.5000
```

---

#ii
Computed, not measured: a relaxed structure of MoWIO2 at the PBE+U level of DFT.

```
MoWIO2
1.0
4.0694 0.0000 0.0000
0.0000 4.0694 0.0000
0.0000 0.0000 6.2833
I Mo O W
1 1 2 1
direct
0.0000 0.0000 0.5000
0.5000 0.5000 0.5000
0.0000 0.5000 0.0000
0.5000 0.0000 0.0000
0.0000 0.0000 0.0000
```

---

The least stable of them is #i.

---

#i
Computed, not measured: a relaxed structure of ZrMoIO2 at the PBE+U level of DFT.

```
ZrMoIO2
1.0
-2.5850 -3.1282 0.4846
3.1483 -2.4756 0.8140
-0.4778 1.2877 5.7641
I Mo O Zr
1 1 2 1
direct
0.0000 0.0000 0.5000
0.0000 0.0000 0.0000
0.0000 0.5000 0.0000
0.5000 0.0000 0.0000
0.5000 0.5000 0.5000
```

---

#ii
Computed, not measured: a relaxed structure of ZrMoIO2 at the PBE+U level of DFT.

```
ZrMoIO2
1.0
-0.1627 -3.7614 1.8052
2.4185 1.3870 3.1081
-5.0409 1.7301 3.1505
I Mo O Zr
1 1 2 1
direct
0.0000 0.0000 0.5000
0.5000 0.5000 0.5000
0.0000 0.5000 0.0000
0.5000 0.0000 0.0000
0.0000 0.0000 0.0000
```

---

The least stable of them is #i.